Compound: La2YFe
Source: Alexandria
Functional: PBE
Structure: relaxed

The structure belongs to space group I-42d (No. 122); the cell edges are 8.6530, 8.6530 and 6.1827 Å and the angles 90.00°, 90.00° and 90.00°. Symmetry generates all atoms from La at (0.1562, 0.2500, 0.1250), Y at (0.0000, 0.0000, 0.5000) and Fe at (0.0000, 0.0000, 0.0000).

The energy relative to the lowest polymorph listed for this composition comes out at 0.2028 eV per atom. Its magnetization is 0.0 μB per cell.


Compound: LaYFe
Source: Alexandria
Functional: PBE
Structure: relaxed

The structure belongs to space group Fmm2 (No. 42); the cell edges are 4.8184, 4.8282 and 13.3341 Å and the angles 90.00°, 90.00° and 90.00°. Symmetry generates all atoms from La at (0.0000, 0.0000, 0.0000), Y at (0.0000, 0.0000, 0.7525) and Fe at (0.0000, 0.0000, 0.3720).

The energy relative to the lowest polymorph listed for this composition comes out at 0.0656 eV per atom. Its magnetization is 1.0 μB per cell.


Compound: La2YFe
Source: Alexandria
Functional: PBE
Structure: relaxed

The structure belongs to space group Cm (No. 8); the cell edges are 12.2640, 3.6402 and 5.7453 Å and the angles 90.00°, 116.83° and 90.00°. Symmetry generates all atoms from La at (0.0000, 0.0000, 0.0000), La at (0.1831, 0.0000, 0.6769), Y at (0.3695, 0.0000, 0.3675) and Fe at (0.1769, 0.5000, 0.2247).

The energy relative to the lowest polymorph listed for this composition comes out at 0.0871 eV per atom. Its magnetization is 0.6 μB per cell.


Compound: LaYFe2
Source: Alexandria
Functional: PBE
Structure: relaxed

The structure belongs to space group F-43m (No. 216); the cell edges are 6.8340, 6.8340 and 6.8340 Å and the angles 90.00°, 90.00° and 90.00°. Symmetry generates all atoms from La at (0.0000, 0.0000, 0.0000), Y at (0.2500, 0.2500, 0.2500), Fe at (0.0000, 0.0000, 0.5000) and Fe at (0.2500, 0.2500, 0.7500).

Its magnetization is 16.8 μB per cell.


no.,E_form (eV per atom)
1,0.278
2,0.134
3,0.162
4,0.426